Here is a relaxed structure of Zn2AsH2 from Alexandria via LeMat-Bulk. Energies are from GGA-PBE.

Calculated values
Its space group is I4/mmm. The crystal system is tetragonal. As for the total DFT energy (no corrections): -12.13 eV/f.u. The value obtained for the theoretical density is 5.835 g/cm³.

a = 3.1875 Å, b = 3.1875 Å, c = 6.2400 Å
α = 75.20°, β = 75.20°, γ = 90.00°
Positions (direct):
H: 0.7500 0.2500 0.5000
H: 0.2500 0.7500 0.5000
As: 0.0000 0.0000 0.0000
Zn: 0.3492 0.3492 0.3016
Zn: 0.6508 0.6508 0.6984


Here is a relaxed structure of Zn3AsH from Alexandria via LeMat-Bulk. Energies are from GGA-PBE.

Calculated values
Its space group is Pm-3m. The crystal system is cubic. As for the total DFT energy (no corrections): -8.36 eV/f.u. The value obtained for the theoretical density is 3.591 g/cm³.

a = 5.0111 Å, b = 5.0111 Å, c = 5.0111 Å
α = 90.00°, β = 90.00°, γ = 90.00°
Positions (direct):
H: 0.5000 0.5000 0.5000
As: 0.0000 0.0000 0.0000
Zn: 0.0000 0.5000 0.0000
Zn: 0.0000 0.0000 0.5000
Zn: 0.5000 0.0000 0.0000


Here is a relaxed structure of ZnAs3H from Alexandria via LeMat-Bulk. Energies are from GGA-PBE.

Calculated values
Its space group is Pm-3m. The crystal system is cubic. As for the total DFT energy (no corrections): -15.71 eV/f.u. The value obtained for the theoretical density is 6.082 g/cm³.

a = 4.2999 Å, b = 4.2999 Å, c = 4.2999 Å
α = 90.00°, β = 90.00°, γ = 90.00°
Positions (direct):
H: 0.0000 0.0000 0.0000
As: 0.0000 0.5000 0.0000
As: 0.0000 0.0000 0.5000
As: 0.5000 0.0000 0.0000
Zn: 0.5000 0.5000 0.5000


Here is a relaxed structure of ZnAs2H from Alexandria via LeMat-Bulk. Energies are from GGA-PBE.

Calculated values
Its space group is I-42d. The crystal system is tetragonal. As for the total DFT energy (no corrections): -12.47 eV/f.u. The value obtained for the theoretical density is 5.274 g/cm³.

a = 4.5144 Å, b = 4.5144 Å, c = 7.4056 Å
α = 72.25°, β = 72.25°, γ = 90.00°
Positions (direct):
H: 0.5000 0.5000 0.0000
H: 0.2500 0.7500 0.5000
As: 0.5185 0.1250 0.2500
As: 0.2315 0.6250 0.2500
As: 0.3750 0.4815 0.7500
As: 0.8750 0.7685 0.7500
Zn: 0.0000 0.0000 0.0000
Zn: 0.7500 0.2500 0.5000


Here is a relaxed structure of ZnAsH from Alexandria via LeMat-Bulk. Energies are from GGA-PBE.

Calculated values
Its space group is Pnma. The crystal system is orthorhombic. As for the total DFT energy (no corrections): -9.34 eV/f.u. The value obtained for the theoretical density is 4.554 g/cm³.

a = 6.8920 Å, b = 4.3217 Å, c = 6.9205 Å
α = 90.00°, β = 90.00°, γ = 90.00°
Positions (direct):
H: 0.9073 0.2500 0.0083
H: 0.5927 0.7500 0.5083
H: 0.0927 0.7500 0.9917
H: 0.4073 0.2500 0.4917
As: 0.2328 0.2500 0.3529
As: 0.2672 0.7500 0.8529
As: 0.7672 0.7500 0.6471
As: 0.7328 0.2500 0.1471
Zn: 0.8628 0.2500 0.4877
Zn: 0.6372 0.7500 0.9877
Zn: 0.1372 0.7500 0.5123
Zn: 0.3628 0.2500 0.0123


Here is a relaxed structure of ZnAsH from Alexandria via LeMat-Bulk. Energies are from GGA-PBE.

Calculated values
Its space group is C2/m. The crystal system is monoclinic. As for the total DFT energy (no corrections): -8.85 eV/f.u. The value obtained for the theoretical density is 5.104 g/cm³.

a = 3.7574 Å, b = 3.7574 Å, c = 6.5411 Å
α = 86.53°, β = 93.47°, γ = 91.83°
Positions (direct):
Zn: 0.3130 0.6869 0.8056
Zn: 0.6869 0.3130 0.1944
As: 0.8128 0.1872 0.7814
As: 0.1872 0.8128 0.2186
H: 0.7333 0.2667 0.5454
H: 0.2667 0.7333 0.4546


Here is a relaxed structure of ZnAs3H from Alexandria via LeMat-Bulk. Energies are from GGA-PBE.

Calculated values
Its space group is Pm-3m. The crystal system is cubic. As for the total DFT energy (no corrections): -12.70 eV/f.u. The value obtained for the theoretical density is 4.183 g/cm³.

a = 4.8712 Å, b = 4.8712 Å, c = 4.8712 Å
α = 90.00°, β = 90.00°, γ = 90.00°
Site moments in Bohr magnetons follow the coordinates.
Positions (direct):
H: 0.5000 0.5000 0.5000  0.34
As: 0.0000 0.5000 0.0000  0.02
As: 0.0000 0.0000 0.5000  0.00
As: 0.5000 0.0000 0.0000  0.03
Zn: 0.0000 0.0000 0.0000  0.01


Here is a relaxed structure of ZnAsH from Alexandria via LeMat-Bulk. Energies are from GGA-PBE.

Calculated values
Its space group is Pnma. The crystal system is orthorhombic. As for the total DFT energy (no corrections): -9.01 eV/f.u. The value obtained for the theoretical density is 4.085 g/cm³.

a = 8.1436 Å, b = 6.3971 Å, c = 4.4110 Å
α = 90.00°, β = 90.00°, γ = 90.00°
Positions (direct):
H: 0.4453 0.2500 0.9643
H: 0.0547 0.7500 0.4643
H: 0.5547 0.7500 0.0357
H: 0.9453 0.2500 0.5357
As: 0.3269 0.2500 0.2416
As: 0.1731 0.7500 0.7416
As: 0.6731 0.7500 0.7584
As: 0.8269 0.2500 0.2584
Zn: 0.0000 0.0000 0.0000
Zn: 0.5000 0.5000 0.5000
Zn: 0.5000 0.0000 0.5000
Zn: 0.0000 0.5000 0.0000


Here is a relaxed structure of ZnAsH from Alexandria via LeMat-Bulk. Energies are from GGA-PBE.

Calculated values
Its space group is C2/m. The crystal system is monoclinic. As for the total DFT energy (no corrections): -8.54 eV/f.u. The value obtained for the theoretical density is 4.774 g/cm³.

a = 3.7291 Å, b = 4.2153 Å, c = 6.9750 Å
α = 89.70°, β = 90.00°, γ = 116.25°
Positions (direct):
H: 0.6724 0.3448 0.2012
H: 0.3276 0.6552 0.7988
As: 0.1410 0.2821 0.2268
As: 0.8590 0.7179 0.7732
Zn: 0.8501 0.7002 0.3971
Zn: 0.1499 0.2998 0.6029


Here is a relaxed structure of ZnAs2H from Alexandria via LeMat-Bulk. Energies are from GGA-PBE.

Calculated values
Its space group is Fm-3m. The crystal system is cubic. As for the total DFT energy (no corrections): -11.62 eV/f.u. The value obtained for the theoretical density is 6.069 g/cm³.

a = 4.3741 Å, b = 4.3741 Å, c = 4.3741 Å
α = 60.00°, β = 60.00°, γ = 60.00°
Positions (direct):
H: 0.0000 0.0000 0.0000
As: 0.2500 0.2500 0.2500
As: 0.7500 0.7500 0.7500
Zn: 0.5000 0.5000 0.5000


Here is a relaxed structure of ZnAsH3 from Alexandria via LeMat-Bulk. Energies are from GGA-PBE.

Calculated values
Its space group is Pm-3m. The crystal system is cubic. As for the total DFT energy (no corrections): -12.15 eV/f.u. The value obtained for the theoretical density is 5.006 g/cm³.

a = 3.6228 Å, b = 3.6228 Å, c = 3.6228 Å
α = 90.00°, β = 90.00°, γ = 90.00°
Positions (direct):
H: 0.0000 0.5000 0.0000
H: 0.0000 0.0000 0.5000
H: 0.5000 0.0000 0.0000
As: 0.5000 0.5000 0.5000
Zn: 0.0000 0.0000 0.0000


Here is a relaxed structure of Zr2AsH from Alexandria via LeMat-Bulk. Energies are from GGA-PBE.

Calculated values
Its space group is Fm-3m. The crystal system is cubic. As for the total DFT energy (no corrections): -26.53 eV/f.u. The value obtained for the theoretical density is 6.486 g/cm³.

a = 4.5394 Å, b = 4.5394 Å, c = 4.5394 Å
α = 60.00°, β = 60.00°, γ = 60.00°
Positions (direct):
H: 0.0000 0.0000 0.0000
As: 0.5000 0.5000 0.5000
Zr: 0.2500 0.2500 0.2500
Zr: 0.7500 0.7500 0.7500